(1)
{
  "formula": "FeSiTe",
  "functional": "GGA-PBEsol",
  "state": "optimized geometry",
  "space_group": "P3m1 (156)",
  "total_energy_ev_per_cell": -17.8,
  "raw_formation_energy_ev_per_atom": 0.145,
  "lattice_angstrom": [[-1.761, -0.122, -2.816], [-0.908, -1.848, 2.609], [-3.056, 3.956, 1.739]],
  "species": ["Fe", "Si", "Te"],
  "fractional_positions": [[0.000, 0.000, 0.975], [0.667, 0.333, 0.726], [0.333, 0.667, 0.298]]
}

(2)
{
  "formula": "ZrPb3I",
  "functional": "GGA-PBEsol",
  "state": "optimized geometry",
  "space_group": "Pm-3m (221)",
  "total_energy_ev_per_cell": -21.2,
  "raw_formation_energy_ev_per_atom": 0.326,
  "lattice_angstrom": [[5.662, 0.000, 0.000], [0.000, 5.662, 0.000], [0.000, 0.000, 5.662]],
  "species": ["I", "Pb", "Zr", "Pb", "Pb"],
  "fractional_positions": [[0.500, 0.500, 0.500], [0.500, 0.000, 0.000], [0.000, 0.000, 0.000], [0.000, 0.500, 0.000], [0.000, 0.000, 0.500]]
}

(3)
{
  "formula": "NaH3Se2O6",
  "functional": "GGA-PBEsol",
  "state": "optimized geometry",
  "polymorph_energy_ev_per_atom": 0.0242,
  "space_group": "P2_1/c (14)",
  "total_energy_ev_per_cell": -126.0,
  "lattice_angstrom": [[-0.183, -2.308, -3.891], [1.808, -4.844, 2.788], [-9.810, -2.301, 2.363]],
  "species": ["H", "H", "Se", "O", "O", "O", "H", "O", "Se", "O", "O", "Se", "Na", "H", "O", "H", "H", "O", "Se", "Na", "O", "O", "O", "O"],
  "fractional_positions": [[0.594, 0.968, 0.814], [0.906, 0.468, 0.686], [0.539, 0.398, 0.842], [0.741, 0.340, 0.700], [0.617, 0.864, 0.150], [0.883, 0.364, 0.350], [0.500, 0.000, 0.500], [0.383, 0.136, 0.850], [0.039, 0.102, 0.342], [0.687, 0.865, 0.536], [0.313, 0.135, 0.464], [0.461, 0.602, 0.158], [0.500, 0.500, 0.500], [0.406, 0.032, 0.186], [0.117, 0.636, 0.650], [0.000, 0.500, 0.000], [0.094, 0.532, 0.314], [0.813, 0.365, 0.964], [0.961, 0.898, 0.658], [0.000, 0.000, 0.000], [0.241, 0.160, 0.200], [0.187, 0.635, 0.036], [0.759, 0.840, 0.800], [0.259, 0.660, 0.300]]
}

(4)
{
  "formula": "MoRu5",
  "functional": "GGA-PBEsol",
  "state": "optimized geometry",
  "polymorph_energy_ev_per_atom": 0.0000,
  "space_group": "Cm (8)",
  "total_energy_ev_per_cell": -62.7,
  "formation_enthalpy_0k_ev_per_atom": -0.0171,
  "lattice_angstrom": [[-1.596, -1.530, 1.560], [4.735, -1.315, 1.207], [-1.113, 5.004, 3.770]],
  "species": ["Ru", "Ru", "Ru", "Ru", "Ru", "Mo"],
  "fractional_positions": [[0.724, 0.449, 0.945], [0.332, 0.664, 0.665], [0.388, 0.775, 0.279], [0.668, 0.336, 0.336], [0.055, 0.110, 0.610], [0.000, 0.000, 0.999]]
}

Number 3 is which compound?
NaH3Se2O6